Record 1
First-principles (PBE) data for a relaxed HfTiReW crystal, as listed in Alexandria.

Results
For the formation energy, the calculation gives 0.018 eV/atom. The density of states at the Fermi level comes out at 4.14 states/eV/cell. The magnetization comes out at 0.00 Bohr magnetons per cell.

The structure in POSCAR format:
```
HfTiReW
1.0
-0.036 -2.040 1.968
2.323 0.045 1.623
-4.212 5.739 5.870
W Hf Re Ti
1 1 1 1
direct
0.750 0.561 0.364
0.249 0.061 0.104
0.250 0.061 0.596
0.750 0.561 0.821
```

***

Record 2
First-principles (PBE) data for a relaxed HfTiReW crystal, as listed in Alexandria.

Results
For the formation energy, the calculation gives -0.097 eV/atom. The density of states at the Fermi level comes out at 8.52 states/eV/cell. The magnetization comes out at 0.00 Bohr magnetons per cell.

The structure in POSCAR format:
```
HfTiReW
1.0
-3.747 0.633 2.670
-1.871 -0.930 -2.406
0.590 -8.607 2.870
Re Ti Hf W
2 2 2 2
direct
0.000 0.500 0.373
0.500 0.000 0.873
0.500 0.500 0.638
0.000 0.000 0.138
0.500 0.500 0.119
0.000 0.000 0.619
0.000 0.500 0.881
0.500 0.000 0.381
```

***

Record 3
First-principles (PBE) data for a relaxed HfTiZnRe crystal, as listed in Alexandria.

Results
The calculation puts the distance to the lowest polymorph of the same formula at 0.0 meV/atom. For the formation energy, the calculation gives -0.343 eV/atom. The density of states at the Fermi level comes out at 2.42 states/eV/cell. The magnetization comes out at 0.00 Bohr magnetons per cell.

The structure in POSCAR format:
```
HfTiZnRe
1.0
-0.547 1.203 -2.966
0.988 -2.798 -1.317
-5.966 -2.203 0.206
Zn Re Ti Hf
1 1 1 1
direct
0.500 0.500 0.587
0.500 0.500 0.124
0.000 0.000 0.348
0.000 0.000 0.869
```

***

Record 4
First-principles (PBE) data for a relaxed HfTiZnRe crystal, as listed in Alexandria.

Results
The calculation puts the distance to the lowest polymorph of the same formula at 74.5 meV/atom. For the formation energy, the calculation gives -0.268 eV/atom. The density of states at the Fermi level comes out at 3.15 states/eV/cell. The magnetization comes out at 0.00 Bohr magnetons per cell.

The structure in POSCAR format:
```
HfTiZnRe
1.0
4.555 0.000 0.000
2.277 3.945 0.000
2.277 1.315 3.719
Zn Ti Hf Re
1 1 1 1
direct
0.500 0.500 0.500
0.250 0.250 0.250
0.750 0.750 0.750
0.000 0.000 0.000
```

***

Record 5
First-principles (PBE) data for a relaxed HfTlRe3 crystal, as listed in Alexandria.

Results
The calculation puts the distance to the lowest polymorph of the same formula at 0.0 meV/atom. For the formation energy, the calculation gives 2.441 eV/atom. The density of states at the Fermi level comes out at 4.16 states/eV/cell. The magnetization comes out at 3.45 Bohr magnetons per cell.

The structure in POSCAR format:
```
HfTlRe3
1.0
-2.146 1.883 3.934
-1.788 -4.379 1.120
3.978 -0.952 2.626
Re Tl Hf
3 1 1
direct
0.000 0.000 0.500
0.000 0.500 0.000
0.500 0.000 0.000
0.500 0.500 0.500
0.000 0.000 0.000
```

***

Record 6
First-principles (PBE) data for a relaxed HfTl3Re crystal, as listed in Alexandria.

Results
The calculation puts the distance to the lowest polymorph of the same formula at 0.0 meV/atom. For the formation energy, the calculation gives 1.283 eV/atom. The density of states at the Fermi level comes out at 6.77 states/eV/cell. The magnetization comes out at 1.47 Bohr magnetons per cell.

The structure in POSCAR format:
```
HfTl3Re
1.0
-5.059 1.110 1.019
-0.286 -4.213 3.169
1.480 2.982 4.097
Tl Hf Re
3 1 1
direct
0.000 0.000 0.500
0.500 0.000 0.000
0.000 0.500 0.000
0.500 0.500 0.500
0.000 0.000 0.000
```

***

Record 7
First-principles (PBE) data for a relaxed Hf6TlRe crystal, as listed in Alexandria.

Results
For the formation energy, the calculation gives 0.429 eV/atom. The density of states at the Fermi level comes out at 8.50 states/eV/cell. The magnetization comes out at 0.00 Bohr magnetons per cell.

The structure in POSCAR format:
```
Hf6TlRe
1.0
6.252 0.856 0.000
2.385 5.741 0.000
1.193 2.870 5.397
Re Hf Tl
1 6 1
direct
0.500 0.500 0.000
0.264 0.259 0.000
0.263 0.958 0.566
0.736 0.741 0.000
0.737 0.042 0.434
0.263 0.525 0.434
0.737 0.475 0.566
0.000 0.000 0.000
```

***

Record 8
First-principles (PBE) data for a relaxed Hf2TlRe crystal, as listed in Alexandria.

Results
The calculation puts the distance to the lowest polymorph of the same formula at 0.0 meV/atom. For the formation energy, the calculation gives -0.177 eV/atom. The density of states at the Fermi level comes out at 2.37 states/eV/cell. The magnetization comes out at 0.00 Bohr magnetons per cell.

The structure in POSCAR format:
```
Hf2TlRe
1.0
3.305 0.000 0.000
0.000 3.305 0.000
0.000 0.000 7.439
Re Hf Tl
1 2 1
direct
0.500 0.500 0.000
0.000 0.000 0.789
0.000 0.000 0.211
0.500 0.500 0.500
```